A relaxed TaGeMo2Cl crystal, computed with PBE-GGA.

Raw formation energy: 1727 meV per atom
Raw total energy: -0.23036 Ha/atom
Magnetic moment: 2.45 μB per formula unit

a = 4.804 Å, b = 4.804 Å, c = 4.578 Å
α = 90.00°, β = 90.00°, γ = 90.00°
Space group P4/mmm (No. 123)
Symmetry-distinct sites (fractional):
Ta  0.000  0.000  0.000
Ge  0.500  0.500  0.500
Mo  0.000  0.500  0.500
Cl  0.500  0.500  0.000


A relaxed ZnGe2MoCl crystal, computed with PBE-GGA.

Raw formation energy: 1014 meV per atom
Raw total energy: -0.13315 Ha/atom
Magnetic moment: 3.64 μB per formula unit

a = 4.673 Å, b = 4.673 Å, c = 5.344 Å
α = 90.00°, β = 90.00°, γ = 90.00°
Space group P4/mmm (No. 123)
Symmetry-distinct sites (fractional):
Zn  0.000  0.000  0.000
Ge  0.000  0.500  0.000
Mo  0.000  0.000  0.500
Cl  0.500  0.500  0.500


A relaxed GeNCl3 crystal, computed with PBE-GGA.

Raw formation energy: 511 meV per atom
Energy above the lowest structure with this stoichiometry: 1.43 kcal/mol of atoms
Raw total energy: -0.11708 Ha/atom
Magnetic moment: 3.00 μB per formula unit

a = 7.1867 Å, b = 7.1867 Å, c = 9.6750 Å
α = 90.00°, β = 90.00°, γ = 120.00°
Space group R3m (No. 160, hexagonal axes)
Symmetry-distinct sites (fractional):
Ge  0.0000  0.0000  0.0000
N  0.0000  0.0000  0.4262
Cl  0.1684  0.3368  0.7504


A relaxed GeN2Cl2 crystal, computed with PBE-GGA.

Raw formation energy: -60 meV per atom
Energy above the lowest structure with this stoichiometry: 9.08 kcal/mol of atoms
Raw total energy: -0.18568 Ha/atom
Magnetic moment: 0.00 μB per formula unit

a = 5.261 Å, b = 5.261 Å, c = 6.686 Å
α = 90.00°, β = 90.00°, γ = 90.00°
Space group I4/mmm (No. 139)
Symmetry-distinct sites (fractional):
Ge  0.000  0.000  0.000
N  0.000  0.000  0.417
Cl  0.000  0.500  0.250


A relaxed GeN2Cl crystal, computed with PBE-GGA.

Raw formation energy: 2202 meV per atom
Energy above the lowest structure with this stoichiometry: 32.92 kcal/mol of atoms
Raw total energy: -0.13143 Ha/atom
Magnetic moment: 0.00 μB per formula unit

a = 5.732 Å, b = 5.732 Å, c = 5.732 Å
α = 90.00°, β = 90.00°, γ = 90.00°
Space group Fm-3m (No. 225)
Symmetry-distinct sites (fractional):
Ge  0.000  0.000  0.000
N  0.250  0.250  0.250
Cl  0.000  0.000  0.500


A relaxed GeN2Cl crystal, computed with PBE-GGA.

Raw formation energy: 1179 meV per atom
Energy above the lowest structure with this stoichiometry: 9.33 kcal/mol of atoms
Raw total energy: -0.16903 Ha/atom
Magnetic moment: 0.88 μB per formula unit

a = 5.277 Å, b = 5.277 Å, c = 8.378 Å
α = 90.00°, β = 90.00°, γ = 90.00°
Space group I-42d (No. 122)
Symmetry-distinct sites (fractional):
Ge  0.000  0.000  0.000
N  0.153  0.250  0.125
Cl  0.000  0.000  0.500


A relaxed GeN2Cl crystal, computed with PBE-GGA.

Raw formation energy: 775 meV per atom
Energy above the lowest structure with this stoichiometry: 0.00 kcal/mol of atoms
Raw total energy: -0.18390 Ha/atom
Magnetic moment: 0.51 μB per formula unit

a = 3.0922 Å, b = 3.0922 Å, c = 17.7257 Å
α = 90.00°, β = 90.00°, γ = 120.00°
Space group R-3m (No. 166, hexagonal axes)
Symmetry-distinct sites (fractional):
Ge  0.0000  0.0000  0.0000
N  0.0000  0.0000  0.3900
Cl  0.0000  0.0000  0.5000


A relaxed GeN2Cl crystal, computed with PBE-GGA.

Raw formation energy: 1987 meV per atom
Energy above the lowest structure with this stoichiometry: 27.97 kcal/mol of atoms
Raw total energy: -0.13932 Ha/atom
Magnetic moment: 0.00 μB per formula unit

a = 3.7661 Å, b = 3.7661 Å, c = 17.3402 Å
α = 90.00°, β = 90.00°, γ = 120.00°
Space group R-3m (No. 166, hexagonal axes)
Symmetry-distinct sites (fractional):
Ge  0.0000  0.0000  0.0000
N  0.0000  0.0000  0.1013
Cl  0.0000  0.0000  0.5000


A relaxed GeN2Cl2 crystal, computed with PBE-GGA.

Raw formation energy: -454 meV per atom
Energy above the lowest structure with this stoichiometry: 0.00 kcal/mol of atoms
Raw total energy: -0.20015 Ha/atom
Magnetic moment: 0.00 μB per formula unit

a = 3.951 Å, b = 3.954 Å, c = 10.241 Å
α = 95.34°, β = 91.02°, γ = 119.86°
Space group P-1 (No. 2)
Symmetry-distinct sites (fractional):
Ge  0.000  0.000  0.000
N  0.052  0.095  0.459
Cl  0.365  0.716  0.143


A relaxed GeNCl3 crystal, computed with PBE-GGA.

Raw formation energy: 814 meV per atom
Energy above the lowest structure with this stoichiometry: 8.43 kcal/mol of atoms
Raw total energy: -0.10594 Ha/atom
Magnetic moment: 0.00 μB per formula unit

a = 4.486 Å, b = 4.486 Å, c = 4.486 Å
α = 90.00°, β = 90.00°, γ = 90.00°
Space group Pm-3m (No. 221)
Symmetry-distinct sites (fractional):
Ge  0.000  0.000  0.000
N  0.500  0.500  0.500
Cl  0.000  0.500  0.500


A relaxed GeN2Cl2 crystal, computed with PBE-GGA.

Raw formation energy: 1275 meV per atom
Energy above the lowest structure with this stoichiometry: 39.87 kcal/mol of atoms
Raw total energy: -0.13662 Ha/atom
Magnetic moment: 0.00 μB per formula unit

a = 6.174 Å, b = 6.174 Å, c = 3.944 Å
α = 90.00°, β = 90.00°, γ = 90.00°
Space group P4/mbm (No. 127)
Symmetry-distinct sites (fractional):
Ge  0.000  0.000  0.000
N  0.245  0.255  0.000
Cl  0.174  0.326  0.500


A relaxed GeNCl3 crystal, computed with PBE-GGA.

Raw formation energy: 448 meV per atom
Energy above the lowest structure with this stoichiometry: 0.00 kcal/mol of atoms
Raw total energy: -0.11937 Ha/atom
Magnetic moment: 3.00 μB per formula unit

a = 8.287 Å, b = 7.811 Å, c = 10.912 Å
α = 90.00°, β = 90.00°, γ = 90.00°
Space group Pnma (No. 62)
Symmetry-distinct sites (fractional):
Ge  0.250  0.250  0.133
N  0.005  0.250  0.747
Cl  0.000  0.250  0.250
Cl  0.250  0.025  0.015